# KPu2I6 PBE-GGA relaxed
# theoretical density: 4.9 g/cm³
# uncorrected energy: -5.50 eV/atom
# E_form (uncorrected): -1.16 eV/atom
# space-group type: P4_2/mnm (136)
data_KPu2I6
_cell_length_a 7.7699
_cell_length_b 7.7699
_cell_length_c 14.4518
_cell_angle_alpha 90.00
_cell_angle_beta 90.00
_cell_angle_gamma 90.00
_symmetry_space_group_name_H-M 'P 1'
_symmetry_Int_Tables_number 1
loop_
_symmetry_equiv_pos_as_xyz
'x,y,z'
loop_
_atom_site_label
_atom_site_type_symbol
_atom_site_fract_x
_atom_site_fract_y
_atom_site_fract_z
K1 K 0.0000 0.0000 0.0000
K2 K 0.5000 0.5000 0.5000
Pu1 Pu 0.0000 0.0000 0.3330
Pu2 Pu 0.0000 0.0000 0.6670
Pu3 Pu 0.5000 0.5000 0.1670
Pu4 Pu 0.5000 0.5000 0.8330
I1 I 0.1849 0.1849 0.5000
I2 I 0.2112 0.2112 0.1830
I3 I 0.2112 0.2112 0.8170
I4 I 0.2888 0.7112 0.3170
I5 I 0.2888 0.7112 0.6830
I6 I 0.3151 0.6849 0.0000
I7 I 0.6849 0.3151 0.0000
I8 I 0.7112 0.2888 0.3170
I9 I 0.7112 0.2888 0.6830
I10 I 0.7888 0.7888 0.1830
I11 I 0.7888 0.7888 0.8170
I12 I 0.8151 0.8151 0.5000